Compound: Cs3CuSe2
Source: Alexandria
Functional: GGA-PBE
Structure: relaxed

It has space group P2_1/c (No. 14), with a = 8.5592 Å, b = 11.8467 Å, c = 11.4514 Å, α = 90.00°, β = 110.38° and γ = 90.00°. The distinct sites, in fractional coordinates, are Cs at (0.2153, 0.0245, 0.3859), Cs at (0.2477, 0.0610, 0.9802), Cs at (0.2719, 0.7166, 0.1859), Cu at (0.2169, 0.1739, 0.6754), Se at (0.0119, 0.7147, 0.3728) and Se at (0.4420, 0.0577, 0.7268).

As for the uncorrected formation energy: -0.92 eV per atom. The calculation puts the distance to the lowest polymorph of the same formula at 0.000 eV/atom. For the total energy, the calculation gives -76.68 eV per cell. The calculation puts the size of the total moment at 0.00 μB/cell.